First-principles (PBE with a Hubbard U) data for HoNi2BiO6 after structural relaxation, as listed in the Alexandria database.

Unit cell a=5.4255 b=5.4255 c=5.7680 alpha=61.95 beta=61.95 gamma=60.00
Site moments in Bohr magnetons follow the coordinates.
Fractional coordinates of all 10 atoms:
O (0.9059, 0.6213, 0.2418)  0.06
O (0.6212, 0.2311, 0.2419)  0.06
O (0.2312, 0.9058, 0.2418)  0.06
O (0.1398, 0.3845, 0.7506)  0.07
O (0.3846, 0.7250, 0.7506)  0.07
O (0.7250, 0.1400, 0.7506)  0.07
Ho (0.8048, 0.8048, 0.5856)  0.01
Ni (0.0165, 0.0164, 0.9506)  1.78
Ni (0.5185, 0.5186, 0.4444)  1.77
Bi (0.3142, 0.3142, 0.0573)  0.00

Output
calculated volume: 123 Å³/f.u.
crystal system: trigonal
symmetry: No. 146
ρ: 7.90 g/cm3
DFT total energy: -5.96 eV per atom
total moment: 4.0 Bohr magnetons per cell